Entry 1:
# Li2CaNd2Sb2

A geometry-optimized Li2CaNd2Sb2 structure (PBE, Alexandria).

Output
**Symmetry**: R-3m (166)
**Total energy**: -3.98 eV/atom
**Crystal system**: trigonal
**E_form (uncorrected)**: -0.6046 eV/atom
**V**: 26.58 A^3/atom
**Theoretical density**: 5.2 g/cm3
**M_tot**: 0.000 μB per atom
**Fermi-level density of states**: 0.77 states/eV/atom

Cell: 4.8073 4.8073 9.7018 Å, 75.66 75.66 60.00°
Atoms (fractional coordinates):
Li (0.5959, 0.5959, 0.2122)
Li (0.4041, 0.4041, 0.7878)
Ca (0.0000, 0.0000, 0.0000)
Nd (0.1304, 0.1304, 0.6087)
Nd (0.8696, 0.8696, 0.3913)
Sb (0.7370, 0.7370, 0.7890)
Sb (0.2630, 0.2630, 0.2110)

=====

Entry 2:
# LiCa3Nd2Se6

A geometry-optimized LiCa3Nd2Se6 structure (PBE, Alexandria).

Output
**Symmetry**: C2/m (12)
**Total energy**: -5.06 eV/atom
**Crystal system**: monoclinic
**E_form (uncorrected)**: -1.8600 eV/atom
**V**: 26.09 A^3/atom
**Theoretical density**: 4.7 g/cm3
**M_tot**: 0.000 μB per atom
**Fermi-level density of states**: 0.30 states/eV/atom

Cell: 7.2555 7.2555 7.2822 Å, 99.58 99.58 119.98°
Atoms (fractional coordinates):
Li (0.0000, 0.0000, 0.0000)
Ca (0.1671, 0.8329, 0.5000)
Ca (0.8329, 0.1671, 0.5000)
Ca (0.5000, 0.5000, 0.5000)
Nd (0.3336, 0.6664, 0.0000)
Nd (0.6664, 0.3336, 0.0000)
Se (0.9171, 0.5884, 0.7511)
Se (0.7544, 0.7544, 0.2490)
Se (0.0829, 0.4116, 0.2489)
Se (0.5884, 0.9171, 0.7511)
Se (0.2456, 0.2456, 0.7510)
Se (0.4116, 0.0829, 0.2489)

=====

Entry 3:
# LiCa3Nd3Se8

A geometry-optimized LiCa3Nd3Se8 structure (PBE, Alexandria).

Output
**Symmetry**: R-3m (166)
**Total energy**: -5.14 eV/atom
**Crystal system**: trigonal
**E_form (uncorrected)**: -1.8026 eV/atom
**V**: 28.00 A^3/atom
**Theoretical density**: 4.7 g/cm3
**M_tot**: 0.000 μB per atom

Cell: 8.4027 8.4027 8.4100 Å, 119.97 90.00 120.00°
Atoms (fractional coordinates):
Li (0.0000, 0.0000, 0.5000)
Ca (0.0000, 0.0000, 0.0000)
Ca (0.0000, 0.5000, 0.0000)
Ca (0.5000, 0.5000, 0.0000)
Nd (0.5000, 0.0000, 0.5000)
Nd (0.5000, 0.5000, 0.5000)
Nd (0.0000, 0.5000, 0.5000)
Se (0.2492, 0.4984, 0.2477)
Se (0.7508, 0.5016, 0.7523)
Se (0.7564, 0.5128, 0.2595)
Se (0.2436, 0.4872, 0.7405)
Se (0.7564, 0.0031, 0.2595)
Se (0.2436, 0.9969, 0.7405)
Se (0.2467, 0.0031, 0.2595)
Se (0.7533, 0.9969, 0.7405)

=====

Entry 4:
# LiCaNd2Se4

A geometry-optimized LiCaNd2Se4 structure (PBE, Alexandria).

Output
**Symmetry**: P2/m (10)
**Total energy**: -5.22 eV/atom
**Crystal system**: monoclinic
**E_form (uncorrected)**: -1.7920 eV/atom
**V**: 25.85 A^3/atom
**Theoretical density**: 5.2 g/cm3
**M_tot**: 0.000 μB per atom
**Fermi-level density of states**: 0.32 states/eV/atom

Cell: 4.1898 7.2498 7.2204 Å, 70.55 90.00 90.00°
Atoms (fractional coordinates):
Li (0.0000, 0.5000, 0.5000)
Ca (0.5000, 0.5000, 0.0000)
Nd (0.0000, 0.0000, 0.0000)
Nd (0.5000, 0.0000, 0.5000)
Se (0.0000, 0.7423, 0.7480)
Se (0.0000, 0.2577, 0.2520)
Se (0.5000, 0.7420, 0.2557)
Se (0.5000, 0.2580, 0.7443)

=====

Look up the theoretical density of the first one.
5.2 g/cm3

=====

The lowest total energy belongs to which entry?
LiCaNd2Se4